Density functional theory data (PBE) for a geometry-optimized NaCa2InCo structure.

Cell lengths 5.3379, 5.3379, 5.0793 Å; angles 90.00, 90.00, 90.00 degrees
Fractional coordinates of all 5 atoms:
Co 0.0000 0.0000 0.0000
Na 0.5000 0.5000 0.5000
In 0.0000 0.0000 0.5000
Ca 0.5000 0.0000 0.0000
Ca 0.0000 0.5000 0.0000

For the raw total energy, the calculation gives -3.0432 eV per atom. Its formation energy is -0.010 eV/atom.